(1)
Below is a relaxed structure of MgPBr, with properties calculated at the PBE level.

Structure (POSCAR):
```
MgPBr
1.0
-0.658 1.787 2.835
-2.532 -1.610 -1.629
1.279 -6.381 4.319
Br Mg P
1 1 1
direct
0.000 0.000 0.106
0.667 0.333 0.319
0.333 0.667 0.575
```

As for the space group: P3m1. Its raw formation energy is -244 meV per atom. The value obtained for the calculated volume is 26.29 Å³/atom. The calculation puts the total energy at -3.14 eV/atom.

(2)
Below is a relaxed structure of MgP2Br, with properties calculated at the PBE level.

Structure (POSCAR):
```
MgP2Br
1.0
-0.494 2.454 -3.207
-2.241 -3.126 1.326
-4.975 5.763 5.176
Br Mg P
1 1 2
direct
0.000 0.000 0.580
0.500 0.500 0.779
0.000 0.000 0.998
0.500 0.500 0.144
```

As for the space group: Cmm2. Its raw formation energy is -214 meV per atom. The value obtained for the calculated volume is 28.83 Å³/atom. The calculation puts the total energy at -3.74 eV/atom.

(3)
Below is a relaxed structure of MgPBr, with properties calculated at the PBE level.

Structure (POSCAR):
```
MgPBr
1.0
6.041 0.010 -0.006
3.659 4.806 0.006
-4.845 -2.417 2.677
Br Mg P
1 1 1
direct
0.986 0.986 0.000
0.248 0.248 0.000
0.766 0.766 0.000
```

As for the space group: I4mm. Its raw formation energy is -248 meV per atom. The value obtained for the calculated volume is 25.88 Å³/atom. The calculation puts the total energy at -3.14 eV/atom.

- Which value of raw formation energy does entry 3 give?
  -248 meV per atom

- Among the records above, which one has the highest raw formation energy?
  MgP2Br

- Which of these has the lowest calculated volume?
  number 3